i.
Entry from Alexandria via LeMat-Bulk: a geometry-optimized NaHfB2Os structure (PBE).

## Properties
total moment	0.00	μB per formula unit
N(E_F)	3.39	states/eV per cell

abc: 4.0939 4.0939 4.5869
angles: 90.00 90.00 90.00
Last column: nearest neighbours and their distance in Å.
Space group P4/mmm (No. 123)
Symmetry-distinct sites (fractional):
Na: 0.0000 0.0000 0.0000  4 B 2.05
Hf: 0.5000 0.5000 0.5000  4 Os 2.89, 8 B 3.07
B: 0.0000 0.5000 0.0000  2 Na 2.05
Os: 0.0000 0.0000 0.5000  2 Na 2.29

=====

ii.
Entry from Alexandria via LeMat-Bulk: a geometry-optimized NaHfB2Os structure (PBE).

## Properties
total moment	1.56	μB per formula unit
N(E_F)	4.64	states/eV per cell

abc: 4.5743 4.5743 4.9877
angles: 90.00 90.00 90.00
Last column: nearest neighbours and their distance in Å.
Space group P4/mmm (No. 123)
Symmetry-distinct sites (fractional):
Na: 0.0000 0.0000 0.0000  4 Os 3.23, 8 B 3.38
Hf: 0.5000 0.5000 0.5000  4 B 2.29, 2 Os 2.49
B: 0.0000 0.5000 0.5000  2 Hf 2.29
Os: 0.5000 0.5000 0.0000  2 Hf 2.49

=====

Last place for stability: i

=====

i.
Entry from Alexandria via LeMat-Bulk: a geometry-optimized Hf3NbB structure (PBE).

## Properties
total moment	0.44	μB per formula unit
N(E_F)	9.14	states/eV per cell

abc: 4.5836 4.5836 4.5836
angles: 90.00 90.00 90.00
Last column: nearest neighbours and their distance in Å.
Space group Pm-3m (No. 221)
Symmetry-distinct sites (fractional):
Hf: 0.0000 0.0000 0.5000  2 B 2.29
Nb: 0.5000 0.5000 0.5000  12 Hf 3.24
B: 0.0000 0.0000 0.0000  6 Hf 2.29

=====

ii.
Entry from Alexandria via LeMat-Bulk: a geometry-optimized Hf3NbB structure (PBE).

## Properties
total moment	0.00	μB per formula unit
N(E_F)	5.37	states/eV per cell

abc: 5.0122 5.0122 5.0122
angles: 90.00 90.00 90.00
Last column: nearest neighbours and their distance in Å.
Space group Pm-3m (No. 221)
Symmetry-distinct sites (fractional):
Hf: 0.0000 0.0000 0.5000  2 Nb 2.51
Nb: 0.0000 0.0000 0.0000  6 Hf 2.51
B: 0.5000 0.5000 0.5000  12 Hf 3.54

=====

Last place for stability: ii

=====

i.
Entry from Alexandria via LeMat-Bulk: a geometry-optimized HfNbB2 structure (PBE).

## Properties
total moment	0.00	μB per formula unit
N(E_F)	8.04	states/eV per cell

abc: 5.1261 5.1261 10.2459
angles: 90.00 90.00 90.00
Last column: nearest neighbours and their distance in Å.
Space group I-42d (No. 122)
Symmetry-distinct sites (fractional):
Hf: 0.0000 0.0000 0.0000  4 B 2.28
Nb: 0.0000 0.0000 0.5000  4 B 2.16
B: 0.2290 0.2500 0.6250  2 Nb 2.16, 2 Hf 2.28

=====

ii.
Entry from Alexandria via LeMat-Bulk: a geometry-optimized HfNbB2 structure (PBE).

## Properties
total moment	0.00	μB per formula unit
N(E_F)	20.97	states/eV per cell

abc: 5.8851 5.8851 5.8851
angles: 90.00 90.00 90.00
Last column: nearest neighbours and their distance in Å.
Space group Fm-3m (No. 225)
Symmetry-distinct sites (fractional):
Hf: 0.0000 0.0000 0.0000  8 B 2.55
Nb: 0.0000 0.0000 0.5000  8 B 2.55
B: 0.2500 0.2500 0.2500  4 Hf 2.55, 4 Nb 2.55

=====

Last place for stability: i

=====

i.
Entry from Alexandria via LeMat-Bulk: a geometry-optimized Hf2NbB structure (PBE).

## Properties
total moment	0.98	μB per formula unit
N(E_F)	9.67	states/eV per cell

abc: 3.2511 3.2511 25.0193
angles: 90.00 90.00 120.00
Last column: nearest neighbours and their distance in Å.
Space group R-3m (No. 166, hexagonal axes)
Symmetry-distinct sites (fractional):
Hf: 0.0000 0.0000 0.1137  3 B 2.30
Nb: 0.0000 0.0000 0.0000  2 Hf 2.85
B: 0.0000 0.0000 0.5000  6 Hf 2.30

=====

ii.
Entry from Alexandria via LeMat-Bulk: a geometry-optimized Hf2NbB structure (PBE).

## Properties
total moment	0.00	μB per formula unit
N(E_F)	12.55	states/eV per cell

abc: 6.4758 6.4758 6.4758
angles: 90.00 90.00 90.00
Last column: nearest neighbours and their distance in Å.
Space group Fm-3m (No. 225)
Symmetry-distinct sites (fractional):
Hf: 0.2500 0.2500 0.2500  4 B 2.80, 4 Nb 2.80
Nb: 0.0000 0.0000 0.0000  8 Hf 2.80
B: 0.0000 0.0000 0.5000  8 Hf 2.80

=====

iii.
Entry from Alexandria via LeMat-Bulk: a geometry-optimized Hf2NbB structure (PBE).

## Properties
total moment	0.00	μB per formula unit
N(E_F)	5.90	states/eV per cell

abc: 7.5239 7.5239 5.0288
angles: 90.00 90.00 90.00
Last column: nearest neighbours and their distance in Å.
Space group I-42d (No. 122)
Symmetry-distinct sites (fractional):
Hf: 0.1740 0.2500 0.1250  2 B 2.38
Nb: 0.0000 0.0000 0.5000  2 B 2.51
B: 0.0000 0.0000 0.0000  4 Hf 2.38, 2 Nb 2.51

=====

Last place for stability: ii

=====

i.
Entry from Alexandria via LeMat-Bulk: a geometry-optimized HfNbB3 structure (PBE).

## Properties
total moment	0.00	μB per formula unit
N(E_F)	5.62	states/eV per cell

abc: 3.4054 20.0121 3.1509
angles: 90.00 90.00 90.00
Last column: nearest neighbours and their distance in Å.
Space group Cmcm (No. 63)
Symmetry-distinct sites (fractional):
Hf: 0.0000 0.2012 0.2500  6 B 2.46-2.47
Nb: 0.0000 0.0663 0.7500  12 B 2.46-2.51
B: 0.0000 0.3415 0.2500  2 B 1.82
B: 0.0000 0.3872 0.7500  3 B 1.81-1.82
B: 0.0000 0.4774 0.7500  3 B 1.81-1.82

=====

ii.
Entry from Alexandria via LeMat-Bulk: a geometry-optimized HfNbB3 structure (PBE).

## Properties
total moment	0.00	μB per formula unit
N(E_F)	2.78	states/eV per cell

abc: 3.4080 19.6764 3.1621
angles: 90.00 90.00 90.00
Last column: nearest neighbours and their distance in Å.
Space group Cmcm (No. 63)
Symmetry-distinct sites (fractional):
Hf: 0.0000 0.0698 0.2500  12 B 2.50-2.54
Nb: 0.0000 0.2038 0.7500  7 B 2.43-2.58
B: 0.0000 0.3347 0.7500  2 B 1.85
B: 0.0000 0.3839 0.2500  3 B 1.82-1.85
B: 0.0000 0.4766 0.2500  3 B 1.82-1.83

=====

iii.
Entry from Alexandria via LeMat-Bulk: a geometry-optimized HfNbB3 structure (PBE).

## Properties
total moment	0.00	μB per formula unit
N(E_F)	3.17	states/eV per cell

abc: 4.1666 4.1666 4.1666
angles: 90.00 90.00 90.00
Last column: nearest neighbours and their distance in Å.
Space group Pm-3m (No. 221)
Symmetry-distinct sites (fractional):
Hf: 0.0000 0.0000 0.0000  6 B 2.08
Nb: 0.5000 0.5000 0.5000  12 B 2.95
B: 0.0000 0.0000 0.5000  2 Hf 2.08

=====

Last place for stability: iii

=====

i.
Entry from Alexandria via LeMat-Bulk: a geometry-optimized HfNi2B4 structure (PBE).

## Properties
total moment	0.00	μB per formula unit
N(E_F)	8.02	states/eV per cell

abc: 3.0657 3.2837 12.5923
angles: 90.00 90.00 90.00
Last column: nearest neighbours and their distance in Å.
Space group Immm (No. 71)
Symmetry-distinct sites (fractional):
Hf: 0.0000 0.0000 0.0000  12 B 2.44-2.47
Ni: 0.0000 0.5000 0.3093  3 B 2.05-2.19
B: 0.0000 0.0000 0.4249  3 B 1.77-1.89
B: 0.0000 0.5000 0.1462  2 B 1.77

=====

ii.
Entry from Alexandria via LeMat-Bulk: a geometry-optimized HfNi2B4 structure (PBE).

## Properties
total moment	0.00	μB per formula unit
N(E_F)	6.63	states/eV per cell

abc: 4.2187 4.2187 10.7000
angles: 90.00 90.00 90.00
Last column: nearest neighbours and their distance in Å.
Space group I4/mmm (No. 139)
Symmetry-distinct sites (fractional):
Hf: 0.0000 0.0000 0.0000  4 B 2.11
Ni: 0.0000 0.0000 0.3953  1 B 1.81
B: 0.0000 0.0000 0.2259  1 Ni 1.81
B: 0.0000 0.5000 0.0000  2 Hf 2.11

=====

Last place for stability: ii

=====

i.
Entry from Alexandria via LeMat-Bulk: a geometry-optimized HfB2O2 structure (PBE).

## Properties
total moment	0.00	μB per formula unit
N(E_F)	3.13	states/eV per cell

abc: 2.7004 2.7004 17.0502
angles: 90.00 90.00 90.00
Last column: nearest neighbours and their distance in Å.
Space group I4/mmm (No. 139)
Symmetry-distinct sites (fractional):
Hf: 0.0000 0.0000 0.0000  8 O 2.22
B: 0.0000 0.5000 0.2500  4 B 1.91
O: 0.0000 0.0000 0.4333  4 Hf 2.22, 1 O 2.27

=====

ii.
Entry from Alexandria via LeMat-Bulk: a geometry-optimized HfB2O2 structure (PBE).

## Properties
total moment	0.00	μB per formula unit
N(E_F)	4.66	states/eV per cell

abc: 6.0389 6.0389 2.8173
angles: 90.00 90.00 90.00
Last column: nearest neighbours and their distance in Å.
Space group P4/mbm (No. 127)
Symmetry-distinct sites (fractional):
Hf: 0.0000 0.0000 0.0000  4 O 2.32, 8 B 2.58
B: 0.2121 0.2879 0.5000  2 O 1.52
O: 0.1438 0.3562 0.0000  2 B 1.52

=====

Last place for stability: i

=====

i.
Entry from Alexandria via LeMat-Bulk: a geometry-optimized Hf2BO structure (PBE).

## Properties
total moment	0.00	μB per formula unit
N(E_F)	7.99	states/eV per cell

abc: 5.8818 5.8818 5.8818
angles: 90.00 90.00 90.00
Last column: nearest neighbours and their distance in Å.
Space group Fm-3m (No. 225)
Symmetry-distinct sites (fractional):
Hf: 0.2500 0.2500 0.2500  4 O 2.55, 4 B 2.55
B: 0.0000 0.0000 0.0000  8 Hf 2.55
O: 0.0000 0.0000 0.5000  8 Hf 2.55

=====

ii.
Entry from Alexandria via LeMat-Bulk: a geometry-optimized Hf2BO structure (PBE).

## Properties
total moment	0.00	μB per formula unit
N(E_F)	6.01	states/eV per cell

abc: 4.9326 4.9326 10.4334
angles: 90.00 90.00 90.00
Last column: nearest neighbours and their distance in Å.
Space group I-42d (No. 122)
Symmetry-distinct sites (fractional):
Hf: 0.2338 0.2500 0.1250  2 O 2.13, 2 B 2.22
B: 0.0000 0.0000 0.5000  4 Hf 2.22
O: 0.0000 0.0000 0.0000  4 Hf 2.13

=====

Last place for stability: i

=====

i.
Entry from Alexandria via LeMat-Bulk: a geometry-optimized Hf3BO structure (PBE).

## Properties
total moment	0.00	μB per formula unit
N(E_F)	6.17	states/eV per cell

abc: 4.2712 4.2712 4.2712
angles: 90.00 90.00 90.00
Last column: nearest neighbours and their distance in Å.
Space group Pm-3m (No. 221)
Symmetry-distinct sites (fractional):
Hf: 0.0000 0.0000 0.5000  2 O 2.14
B: 0.5000 0.5000 0.5000  12 Hf 3.02
O: 0.0000 0.0000 0.0000  6 Hf 2.14

=====

ii.
Entry from Alexandria via LeMat-Bulk: a geometry-optimized Hf3BO structure (PBE).

## Properties
total moment	0.00	μB per formula unit
N(E_F)	30.08	states/eV per cell

abc: 5.5133 5.5133 17.9561
angles: 90.00 90.00 120.00
Last column: nearest neighbours and their distance in Å.
Space group R32 (No. 155, hexagonal axes)
Symmetry-distinct sites (fractional):
Hf: 0.0007 0.3296 0.2501  2 O 2.35-2.38, 2 B 2.37
B: 0.0000 0.0000 0.1654  6 Hf 2.37
O: 0.0000 0.0000 0.3356  6 Hf 2.35-2.38

=====

Last place for stability: i

=====

i.
Entry from Alexandria via LeMat-Bulk: a geometry-optimized HfBOs structure (PBE).

## Properties
total moment	0.00	μB per formula unit
N(E_F)	6.28	states/eV per cell

abc: 3.6328 14.2480 3.0815
angles: 90.00 90.00 90.00
Last column: nearest neighbours and their distance in Å.
Space group Cmcm (No. 63)
Symmetry-distinct sites (fractional):
Hf: 0.0000 0.0922 0.2500  6 B 2.52-2.57
B: 0.0000 0.4646 0.2500  2 B 1.84
Os: 0.0000 0.2947 0.2500  1 B 2.42, 4 Os 2.70

=====

ii.
Entry from Alexandria via LeMat-Bulk: a geometry-optimized HfBOs structure (PBE).

## Properties
total moment	0.00	μB per formula unit
N(E_F)	19.95	states/eV per cell

abc: 5.5391 6.5659 9.3274
angles: 90.00 90.00 90.00
Last column: nearest neighbours and their distance in Å.
Space group Fmmm (No. 69)
Symmetry-distinct sites (fractional):
Hf: 0.2500 0.0000 0.2500  2 B 2.38
B: 0.1670 0.0000 0.0000  1 B 1.85
Os: 0.0000 0.2079 0.5000  4 B 2.13-2.29

=====

Last place for stability: ii

=====

i.
Entry from Alexandria via LeMat-Bulk: a geometry-optimized Hf2BP structure (PBE).

## Properties
total moment	0.00	μB per formula unit
N(E_F)	1.35	states/eV per cell

abc: 5.0013 3.4341 7.1129
angles: 90.00 109.84 90.00
Last column: nearest neighbours and their distance in Å.
Space group P2_1/m (No. 11)
Symmetry-distinct sites (fractional):
Hf: 0.2087 0.2500 0.4205  3 B 2.52-2.79, 4 P 2.62-2.68
Hf: 0.2715 0.7500 0.0664  4 B 2.52-2.82, 3 P 2.62-2.66
B: 0.1290 0.2500 0.7904  2 P 2.21
P: 0.3540 0.7500 0.7168  2 B 2.21

=====

ii.
Entry from Alexandria via LeMat-Bulk: a geometry-optimized Hf2BP structure (PBE).

## Properties
total moment	0.00	μB per formula unit
N(E_F)	2.70	states/eV per cell

abc: 5.6152 5.6152 10.7521
angles: 90.00 90.00 90.00
Last column: nearest neighbours and their distance in Å.
Space group I-42d (No. 122)
Symmetry-distinct sites (fractional):
Hf: 0.2015 0.2500 0.1250  2 B 2.25
B: 0.0000 0.0000 0.0000  4 Hf 2.25
P: 0.0000 0.0000 0.5000  4 Hf 2.57

=====

iii.
Entry from Alexandria via LeMat-Bulk: a geometry-optimized Hf2BP structure (PBE).

## Properties
total moment	0.00	μB per formula unit
N(E_F)	3.70	states/eV per cell

abc: 3.5298 3.5298 17.7690
angles: 90.00 90.00 120.00
Last column: nearest neighbours and their distance in Å.
Space group R-3m (No. 166, hexagonal axes)
Symmetry-distinct sites (fractional):
Hf: 0.0000 0.0000 0.2414  3 B 2.43, 3 P 2.61
B: 0.0000 0.0000 0.5000  6 Hf 2.43
P: 0.0000 0.0000 0.0000  6 Hf 2.61

=====

Last place for stability: ii

=====

i.
Entry from Alexandria via LeMat-Bulk: a geometry-optimized HfBP3 structure (PBE).

## Properties
total moment	0.00	μB per formula unit
N(E_F)	3.53	states/eV per cell

abc: 4.9612 4.9612 4.9612
angles: 90.00 90.00 90.00
Last column: nearest neighbours and their distance in Å.
Space group Pm-3m (No. 221)
Symmetry-distinct sites (fractional):
Hf: 0.0000 0.0000 0.0000  6 P 2.48
B: 0.5000 0.5000 0.5000  12 P 3.51
P: 0.0000 0.0000 0.5000  2 Hf 2.48

=====

ii.
Entry from Alexandria via LeMat-Bulk: a geometry-optimized HfBP3 structure (PBE).

## Properties
total moment	0.00	μB per formula unit
N(E_F)	3.79	states/eV per cell

abc: 4.1752 4.1752 4.1752
angles: 90.00 90.00 90.00
Last column: nearest neighbours and their distance in Å.
Space group Pm-3m (No. 221)
Symmetry-distinct sites (fractional):
Hf: 0.0000 0.0000 0.0000  12 P 2.95
B: 0.5000 0.5000 0.5000  6 P 2.09
P: 0.0000 0.5000 0.5000  2 B 2.09

=====

Last place for stability: i